Below is an optimized crystal structure of Tb4Dy3Pt4, with properties calculated at the GGA-PBE level.

```
Tb4Dy3Pt4
1.0
-2.2170 4.0210 7.7561
2.2170 -4.0210 7.7561
2.2170 4.0210 -7.7561
Tb Dy Pt
4 3 4
direct
0.0377 0.8312 0.2065
0.3754 0.1688 0.2065
0.6246 0.8312 0.7935
0.9623 0.1688 0.7935
0.0000 0.5000 0.5000
0.3983 0.3983 0.0000
0.6017 0.6017 0.0000
0.2145 0.7145 0.5000
0.3206 0.0000 0.3206
0.6794 0.0000 0.6794
0.7855 0.2855 0.5000
```

## Properties
The value obtained for the total energy is -6.01 eV/atom. The value obtained for the calculated formation energy is -0.87 eV per atom.

Below is an optimized crystal structure of TbDy3Pt3, with properties calculated at the GGA-PBE level.

```
TbDy3Pt3
1.0
4.5966 -5.2327 0.0000
4.5966 5.2327 0.0000
-0.1466 0.0000 7.1042
Tb Dy Pt
2 6 6
direct
0.2386 0.2386 0.3855
0.7614 0.7614 0.6145
0.1659 0.1659 0.8791
0.2537 0.7463 0.5000
0.3235 0.6765 0.0000
0.6765 0.3235 0.0000
0.7463 0.2537 0.5000
0.8341 0.8341 0.1209
0.0027 0.4833 0.2193
0.4404 0.4404 0.6951
0.4833 0.0027 0.2193
0.5167 0.9973 0.7807
0.5596 0.5596 0.3049
0.9973 0.5167 0.7807
```

## Properties
The value obtained for the total energy is -6.24 eV/atom. The value obtained for the calculated formation energy is -1.01 eV per atom.

Below is an optimized crystal structure of Tb3DyPt12, with properties calculated at the GGA-PBE level.

```
Tb3DyPt12
1.0
4.1341 0.0000 0.0000
0.0000 4.1341 0.0000
0.0000 0.0000 16.4592
Tb Dy Pt
3 1 12
direct
0.0000 0.0000 0.0000
0.0000 0.0000 0.2503
0.0000 0.0000 0.7497
0.0000 0.0000 0.5000
0.0000 0.5000 0.1252
0.0000 0.5000 0.3756
0.0000 0.5000 0.6244
0.0000 0.5000 0.8748
0.5000 0.0000 0.1252
0.5000 0.0000 0.3756
0.5000 0.0000 0.6244
0.5000 0.0000 0.8748
0.5000 0.5000 0.0000
0.5000 0.5000 0.2503
0.5000 0.5000 0.5000
0.5000 0.5000 0.7497
```

## Properties
The value obtained for the total energy is -6.71 eV/atom. The value obtained for the calculated formation energy is -1.02 eV per atom.

Below is an optimized crystal structure of TbDy5Pt4, with properties calculated at the GGA-PBE level.

```
TbDy5Pt4
1.0
9.3457 -2.0758 0.0000
9.3457 2.0758 0.0000
-3.1300 0.0000 6.9918
Tb Dy Pt
1 5 4
direct
0.0000 0.0000 0.0000
0.0000 0.0000 0.5000
0.3359 0.3359 0.0777
0.3359 0.3359 0.5939
0.6641 0.6641 0.4061
0.6641 0.6641 0.9223
0.2074 0.2074 0.2073
0.5000 0.5000 0.2549
0.5000 0.5000 0.7451
0.7926 0.7926 0.7927
```

## Properties
The value obtained for the total energy is -6.18 eV/atom. The value obtained for the calculated formation energy is -1.00 eV per atom.